{
  "formula": "TiCo3As",
  "functional": "PBE-GGA",
  "state": "optimized geometry",
  "lattice_angstrom": [[-0.728, -2.005, -3.686], [-0.785, -3.611, 2.118], [-4.122, 1.041, 0.248]],
  "species": ["Co", "Co", "Co", "As", "Ti"],
  "fractional_positions": [[0.000, 0.500, 0.000], [0.000, 0.000, 0.500], [0.500, 0.000, 0.000], [0.000, 0.000, 0.000], [0.500, 0.500, 0.500]],
  "formation_enthalpy_0k_kj_per_mol_atoms": 48.0,
  "m_tot_mub_per_fu": 2.6
}

{
  "formula": "FeTeMo2",
  "functional": "PBE-GGA",
  "state": "optimized geometry",
  "lattice_angstrom": [[4.529, 0.000, 0.000], [0.000, 4.529, 0.000], [0.000, 0.000, 3.144]],
  "species": ["Mo", "Te", "Fe", "Mo"],
  "fractional_positions": [[0.500, 0.500, 0.000], [0.500, 0.000, 0.500], [0.000, 0.500, 0.500], [0.000, 0.000, 0.000]],
  "raw_formation_energy_ev_per_atom": 0.41,
  "m_tot_mub_per_fu": 2.1
}

{
  "formula": "Ta2InSi",
  "functional": "PBE-GGA",
  "state": "optimized geometry",
  "lattice_angstrom": [[5.122, -0.031, 0.034], [3.886, 3.337, 0.034], [2.252, 0.827, 4.187]],
  "species": ["Si", "In", "Ta", "Ta"],
  "fractional_positions": [[0.250, 0.250, 0.250], [0.750, 0.750, 0.750], [0.972, 0.972, 0.027], [0.528, 0.528, 0.473]],
  "raw_formation_energy_ev_per_atom": 0.04,
  "m_tot_mub_per_fu": 0.0
}

{
  "formula": "TbGe2Rh",
  "functional": "PBE-GGA",
  "state": "optimized geometry",
  "lattice_angstrom": [[4.210, 0.000, 0.000], [2.105, 3.646, 0.000], [2.105, 1.215, 4.922]],
  "species": ["Rh", "Ge", "Ge", "Tb"],
  "fractional_positions": [[0.500, 0.500, 0.500], [0.780, 0.780, 0.660], [0.220, 0.220, 0.340], [0.000, 0.000, 0.000]],
  "formation_enthalpy_0k_kj_per_mol_atoms": -75.7,
  "m_tot_mub_per_fu": 0.0
}

{
  "formula": "MgOsRu",
  "functional": "PBE-GGA",
  "state": "optimized geometry",
  "lattice_angstrom": [[-0.760, -0.506, 4.084], [0.981, 3.040, 2.703], [-3.032, 2.210, 1.853]],
  "species": ["Mg", "Ru", "Os"],
  "fractional_positions": [[0.750, 0.750, 0.750], [0.000, 0.000, 0.000], [0.250, 0.250, 0.250]],
  "formation_enthalpy_0k_kj_per_mol_atoms": 44.2,
  "m_tot_mub_per_fu": 0.0
}

{
  "formula": "Ag2TeN",
  "functional": "PBE-GGA",
  "state": "optimized geometry",
  "lattice_angstrom": [[-0.535, 3.431, 3.893], [-4.646, -2.061, 1.177], [0.182, -3.328, 6.454]],
  "species": ["Te", "Ag", "Ag", "Te", "N", "Ag", "Ag", "N"],
  "fractional_positions": [[0.750, 0.250, 0.500], [0.875, 0.740, 0.750], [0.375, 0.510, 0.750], [0.000, 0.000, 0.000], [0.500, 0.500, 0.000], [0.490, 0.125, 0.250], [0.260, 0.625, 0.250], [0.250, 0.750, 0.500]],
  "raw_formation_energy_ev_per_atom": 0.87,
  "m_tot_mub_per_fu": 0.0
}

{
  "formula": "NdSm2TmTe5",
  "functional": "PBE-GGA",
  "state": "optimized geometry",
  "lattice_angstrom": [[-3.135, -2.763, -3.546], [-1.415, -3.497, 3.976], [-9.164, 6.851, 2.764]],
  "species": ["Te", "Sm", "Te", "Tm", "Te", "Te", "Nd", "Sm", "Te"],
  "fractional_positions": [[0.000, 0.000, 0.749], [0.500, 0.500, 0.654], [0.000, 0.000, 0.251], [0.000, 0.000, 0.500], [0.500, 0.500, 0.000], [0.500, 0.000, 0.500], [0.000, 0.000, 0.000], [0.500, 0.500, 0.346], [0.000, 0.500, 0.500]],
  "raw_formation_energy_ev_per_atom": -0.80,
  "m_tot_mub_per_fu": 0.6
}